This record from the Alexandria database describes an optimized crystal structure of CeEuYCd. The functional is GGA-PBE.

## Properties
* density of states at the Fermi level: 9.119 states/eV per cell
* total energy: -23.4 eV per formula unit
* formation energy from the elements: 0.039 eV/atom
* space-group type: F-43m (216)
* M_tot: 9.35 μB per cell

POSCAR file:
```
CeEuYCd
1.0
0.000 3.900 3.900
3.900 0.000 3.900
3.900 3.900 0.000
Ce Eu Y Cd
1 1 1 1
Direct
0.000 0.000 0.000 Ce
0.750 0.750 0.750 Eu
0.500 0.500 0.500 Y
0.250 0.250 0.250 Cd
```



This record from the Alexandria database describes an optimized crystal structure of SrMn3Al. The functional is GGA-PBE.

## Properties
* density of states at the Fermi level: 7.006 states/eV per cell
* total energy: -29.5 eV per formula unit
* distance to the lowest polymorph of the same formula: 0 meV/atom
* formation energy from the elements: 0.692 eV/atom
* space-group type: Pm-3m (221)
* M_tot: 11.06 μB per cell

POSCAR file:
```
SrMn3Al
1.0
4.866 0.000 0.000
0.000 4.866 0.000
0.000 0.000 4.866
Sr Mn Al
1 3 1
Direct
0.000 0.000 0.000 Sr
0.000 0.500 0.500 Mn
0.500 0.000 0.500 Mn
0.500 0.500 0.000 Mn
0.500 0.500 0.500 Al
```



This record from the Alexandria database describes an optimized crystal structure of BaNa3Br4O12. The functional is GGA-PBE.

## Properties
* density of states at the Fermi level: 11.945 states/eV per cell
* total energy: -79.3 eV per formula unit
* space-group type: R32 (155)
* M_tot: 1.99 μB per cell

POSCAR file:
```
BaNa3Br4O12
1.0
5.806 3.352 3.049
-5.806 3.352 3.049
0.000 -6.705 3.049
Ba Na Br O
1 3 4 12
Direct
0.000 0.000 0.000 Ba
0.000 0.579 0.421 Na
0.421 0.000 0.579 Na
0.579 0.421 0.000 Na
0.105 0.500 0.895 Br
0.500 0.500 0.500 Br
0.500 0.895 0.105 Br
0.895 0.105 0.500 Br
0.017 0.660 0.767 O
0.043 0.957 0.500 O
0.233 0.340 0.983 O
0.340 0.983 0.233 O
0.349 0.651 0.500 O
0.500 0.043 0.957 O
0.500 0.349 0.651 O
0.651 0.500 0.349 O
0.660 0.767 0.017 O
0.767 0.017 0.660 O
0.957 0.500 0.043 O
0.983 0.233 0.340 O
```



This record from the Alexandria database describes an optimized crystal structure of MnC3. The functional is GGA-PBE.

## Properties
* density of states at the Fermi level: 1.980 states/eV per cell
* total energy: -33.1 eV per formula unit
* distance to the lowest polymorph of the same formula: 230 meV/atom
* formation energy from the elements: 0.939 eV/atom
* space-group type: C2/m (12)
* M_tot: 0.75 μB per cell

POSCAR file:
```
MnC3
1.0
3.625 -1.299 0.000
3.625 1.299 0.000
-1.768 0.000 3.212
Mn C
1 3
Direct
0.000 0.000 0.000 Mn
0.307 0.307 0.117 C
0.500 0.500 0.500 C
0.693 0.693 0.883 C
```



This record from the Alexandria database describes an optimized crystal structure of KCu3As2. The functional is GGA-PBE.

## Properties
* density of states at the Fermi level: 3.853 states/eV per cell
* total energy: -23.7 eV per formula unit
* distance to the lowest polymorph of the same formula: 0 meV/atom
* formation energy from the elements: -0.175 eV/atom
* space-group type: C2/m (12)
* M_tot: 0.00 μB per cell

POSCAR file:
```
KCu3As2
1.0
7.702 -2.013 0.000
7.702 2.013 0.000
-2.787 0.000 7.266
K Cu As
2 6 4
Direct
0.155 0.155 0.059 K
0.845 0.845 0.941 K
0.041 0.041 0.379 Cu
0.314 0.314 0.548 Cu
0.418 0.418 0.360 Cu
0.582 0.582 0.640 Cu
0.686 0.686 0.452 Cu
0.959 0.959 0.621 Cu
0.183 0.183 0.657 As
0.473 0.473 0.805 As
0.527 0.527 0.195 As
0.817 0.817 0.343 As
```



This record from the Alexandria database describes an optimized crystal structure of MgMnHPt2. The functional is GGA-PBE.

## Properties
* density of states at the Fermi level: 1.955 states/eV per cell
* total energy: -28.1 eV per formula unit
* space-group type: P4/mmm (123)
* M_tot: 4.07 μB per cell

POSCAR file:
```
MgMnHPt2
1.0
4.050 0.000 0.000
0.000 4.050 0.000
0.000 0.000 3.914
Mg Mn H Pt
1 1 1 2
Direct
0.000 0.000 0.000 Mg
0.500 0.500 0.000 Mn
0.500 0.500 0.500 H
0.000 0.500 0.500 Pt
0.500 0.000 0.500 Pt
```



This record from the Alexandria database describes an optimized crystal structure of CaPmCd. The functional is GGA-PBE.

## Properties
* density of states at the Fermi level: 3.496 states/eV per cell
* total energy: -8.2 eV per formula unit
* distance to the lowest polymorph of the same formula: 8 meV/atom
* formation energy from the elements: -0.183 eV/atom
* space-group type: I4mm (107)
* M_tot: 0.19 μB per cell

POSCAR file:
```
CaPmCd
1.0
-1.868 1.868 6.823
1.868 -1.868 6.823
1.868 1.868 -6.823
Ca Pm Cd
1 1 1
Direct
0.000 0.000 0.000 Ca
0.711 0.711 0.000 Pm
0.353 0.353 0.000 Cd
```



This record from the Alexandria database describes an optimized crystal structure of Li2AlTlH. The functional is GGA-PBE.

## Properties
* density of states at the Fermi level: 2.163 states/eV per cell
* total energy: -13.7 eV per formula unit
* space-group type: P4/mmm (123)
* M_tot: 0.00 μB per cell

POSCAR file:
```
Li2AlTlH
1.0
4.355 0.000 0.000
0.000 4.355 0.000
0.000 0.000 3.929
Li Al Tl H
2 1 1 1
Direct
0.000 0.500 0.000 Li
0.500 0.000 0.000 Li
0.000 0.000 0.500 Al
0.500 0.500 0.500 Tl
0.000 0.000 0.000 H
```



This record from the Alexandria database describes an optimized crystal structure of TbSm2Er2Tm2. The functional is GGA-PBE.

## Properties
* density of states at the Fermi level: 11.736 states/eV per cell
* total energy: -31.5 eV per formula unit
* formation energy from the elements: 0.088 eV/atom
* space-group type: C2/m (12)
* M_tot: 0.00 μB per cell

POSCAR file:
```
TbSm2Er2Tm2
1.0
5.805 -1.748 0.000
5.805 1.748 0.000
-3.853 0.000 11.065
Tb Sm Er Tm
1 2 2 2
Direct
0.000 0.000 0.000 Tb
0.329 0.329 0.416 Sm
0.671 0.671 0.584 Sm
0.450 0.450 0.730 Er
0.550 0.550 0.270 Er
0.226 0.226 0.863 Tm
0.774 0.774 0.137 Tm
```



This record from the Alexandria database describes an optimized crystal structure of LaCeRu. The functional is GGA-PBE.

## Properties
* density of states at the Fermi level: 4.114 states/eV per cell
* total energy: -20.7 eV per formula unit
* distance to the lowest polymorph of the same formula: 79 meV/atom
* formation energy from the elements: -0.182 eV/atom
* space-group type: I4mm (107)
* M_tot: 0.00 μB per cell

POSCAR file:
```
LaCeRu
1.0
-1.779 1.779 5.490
1.779 -1.779 5.490
1.779 1.779 -5.490
La Ce Ru
1 1 1
Direct
0.000 0.000 0.000 La
0.307 0.307 0.000 Ce
0.679 0.679 0.000 Ru
```



This record from the Alexandria database describes an optimized crystal structure of KRbPO3. The functional is GGA-PBE.

## Properties
* density of states at the Fermi level: 2.973 states/eV per cell
* total energy: -33.1 eV per formula unit
* space-group type: P6_3/mmc (194)
* M_tot: 0.00 μB per cell

POSCAR file:
```
KRbPO3
1.0
6.236 0.000 0.000
-3.118 5.401 0.000
0.000 0.000 7.947
K Rb P O
2 2 2 6
Direct
0.000 0.000 0.000 K
0.000 0.000 0.500 K
0.333 0.667 0.250 Rb
0.667 0.333 0.750 Rb
0.333 0.667 0.750 P
0.667 0.333 0.250 P
0.192 0.384 0.750 O
0.192 0.808 0.750 O
0.384 0.192 0.250 O
0.616 0.808 0.750 O
0.808 0.192 0.250 O
0.808 0.616 0.250 O
```



This record from the Alexandria database describes an optimized crystal structure of Nb3CrW. The functional is GGA-PBE.

## Properties
* density of states at the Fermi level: 12.951 states/eV per cell
* total energy: -43.5 eV per formula unit
* distance to the lowest polymorph of the same formula: 707 meV/atom
* formation energy from the elements: 1.856 eV/atom
* space-group type: Pm-3m (221)
* M_tot: 0.08 μB per cell

POSCAR file:
```
Nb3CrW
1.0
4.826 0.000 0.000
0.000 4.826 0.000
0.000 0.000 4.826
Nb Cr W
3 1 1
Direct
0.000 0.000 0.500 Nb
0.000 0.500 0.000 Nb
0.500 0.000 0.000 Nb
0.500 0.500 0.500 Cr
0.000 0.000 0.000 W
```



Q: density of states at the Fermi level of number 10 (LaCeRu)?
A: 4.114 states/eV per cell



Q: What is the total energy in the fifth record?
A: -23.7 eV per formula unit